{"formula": "HoLuFe2Si2", "functional": "GGA-PBE", "state": "optimized geometry", "dft_energy_ev_per_atom": -6.75, "lattice": [[-1.628, 3.026, 2.079], [-3.276, -0.170, -2.318], [-2.622, -4.166, 4.011]], "species": ["Fe", "Fe", "Si", "Si", "Lu", "Ho"], "frac_coords": [[0.000, 0.500, 0.003], [0.500, 0.000, 0.003], [0.000, 0.000, 0.186], [0.500, 0.500, 0.817], [0.500, 0.500, 0.312], [0.000, 0.000, 0.681]]}